Entry 1:
K2LaSe: relaxed, PBE.

Computed properties:
Its density of states at the Fermi level is 3.97 states/eV/f.u. The value obtained for the raw formation energy is -0.131 eV per atom. The value obtained for the electronic total energy is -2.78 eV/atom. Its total magnetization is 0.00 μB per cell.

Cell and atoms, written as CIF:
```
data_K2LaSe
_chemical_formula_sum 'K4 La2 Se2'
_space_group_name_H-M_alt 'I -4 m 2'
_space_group_IT_number 119
_space_group_name_Hall 'I -4 -2'
_cell_length_a 5.041
_cell_length_b 5.041
_cell_length_c 10.840
_cell_angle_alpha 90.00
_cell_angle_beta 90.00
_cell_angle_gamma 90.00
loop_
_atom_site_label
_atom_site_fract_x
_atom_site_fract_y
_atom_site_fract_z
K1 0.000 0.000 0.000
K2 0.000 0.500 0.250
La1 0.000 0.500 0.750
Se1 0.000 0.000 0.500
```

Entry 2:
SiB2WN: relaxed, PBE.

Computed properties:
Its density of states at the Fermi level is 3.09 states/eV/f.u. The value obtained for the raw formation energy is 1.334 eV per atom. The value obtained for the electronic total energy is -6.68 eV/atom. Its total magnetization is 0.00 μB per cell.

Cell and atoms, written as CIF:
```
data_SiB2WN
_chemical_formula_sum 'Si1 B2 W1 N1'
_space_group_name_H-M_alt 'P 4/m m m'
_space_group_IT_number 123
_space_group_name_Hall '-P 4 2'
_cell_length_a 4.282
_cell_length_b 4.282
_cell_length_c 3.897
_cell_angle_alpha 90.00
_cell_angle_beta 90.00
_cell_angle_gamma 90.00
loop_
_atom_site_label
_atom_site_fract_x
_atom_site_fract_y
_atom_site_fract_z
Si1 0.000 0.000 0.000
B1 0.000 0.500 0.500
W1 0.500 0.500 0.500
N1 0.500 0.500 0.000
```

Entry 3:
DyTh2PN5: relaxed, PBE.

Computed properties:
Its density of states at the Fermi level is 2.79 states/eV/f.u. The value obtained for the raw formation energy is -0.983 eV per atom. The value obtained for the electronic total energy is -8.37 eV/atom. Its total magnetization is 0.00 μB per cell.

Cell and atoms, written as CIF:
```
data_DyTh2PN5
_chemical_formula_sum 'Dy2 Th4 P2 N10'
_space_group_name_H-M_alt 'P 4/m b m'
_space_group_IT_number 127
_space_group_name_Hall '-P 4 2ab'
_cell_length_a 6.716
_cell_length_b 6.716
_cell_length_c 5.603
_cell_angle_alpha 90.00
_cell_angle_beta 90.00
_cell_angle_gamma 90.00
loop_
_atom_site_label
_atom_site_fract_x
_atom_site_fract_y
_atom_site_fract_z
Dy1 0.000 0.000 0.000
Th1 0.179 0.321 0.500
P1 0.000 0.500 0.000
N1 0.000 0.000 0.500
N2 0.132 0.632 0.220
```

Entry 4:
CaAc2NpO6: relaxed, PBE.

Computed properties:
Its density of states at the Fermi level is 10.56 states/eV/f.u. The value obtained for the raw formation energy is -3.168 eV per atom. The value obtained for the electronic total energy is -8.46 eV/atom. Its total magnetization is 6.00 μB per cell.

Cell and atoms, written as CIF:
```
data_CaAc2NpO6
_chemical_formula_sum 'Ca2 Ac4 Np2 O12'
_space_group_name_H-M_alt 'P 1 21/c 1'
_space_group_IT_number 14
_cell_length_a 6.056
_cell_length_b 6.246
_cell_length_c 10.630
_cell_angle_alpha 90.00
_cell_angle_beta 124.46
_cell_angle_gamma 90.00
loop_
_space_group_symop_operation_xyz
'x,y,z'
'-x,-y,-z'
'-x,y+1/2,-z+1/2'
'x,-y+1/2,z+1/2'
loop_
_atom_site_label
_atom_site_fract_x
_atom_site_fract_y
_atom_site_fract_z
Ca1 0.000 0.000 0.000
Ac1 0.232 0.051 0.748
Np1 0.500 0.000 0.500
O1 0.145 0.190 0.440
O2 0.237 0.708 0.428
O3 0.381 0.056 0.258
```

Entry 5:
ZnPt3Pb: relaxed, PBE.

Computed properties:
Its density of states at the Fermi level is 5.33 states/eV/f.u. The energy of formation from the pure elements comes out at 0.42 eV per atom. Its polymorph energy (0 for the lowest one) is 0.000 eV/atom. The value obtained for the electronic total energy is -4.20 eV/atom. Its total magnetization is 0.00 μB per cell.

Cell and atoms, written as CIF:
```
data_ZnPt3Pb
_chemical_formula_sum 'Zn1 Pt3 Pb1'
_space_group_name_H-M_alt 'P m -3 m'
_space_group_IT_number 221
_space_group_name_Hall '-P 4 2 3'
_cell_length_a 4.715
_cell_length_b 4.715
_cell_length_c 4.715
_cell_angle_alpha 90.00
_cell_angle_beta 90.00
_cell_angle_gamma 90.00
loop_
_atom_site_label
_atom_site_fract_x
_atom_site_fract_y
_atom_site_fract_z
Zn1 0.000 0.000 0.000
Pt1 0.000 0.000 0.500
Pb1 0.500 0.500 0.500
```

Entry 6:
MoPd2S2: relaxed, PBE.

Computed properties:
Its density of states at the Fermi level is 3.73 states/eV/f.u. The value obtained for the raw formation energy is 0.445 eV per atom. Its polymorph energy (0 for the lowest one) is 0.640 eV/atom. The value obtained for the electronic total energy is -5.45 eV/atom. Its total magnetization is 3.38 μB per cell.

Cell and atoms, written as CIF:
```
data_MoPd2S2
_chemical_formula_sum 'Mo2 Pd4 S4'
_space_group_name_H-M_alt 'I 4/m m m'
_space_group_IT_number 139
_space_group_name_Hall '-I 4 2'
_cell_length_a 3.535
_cell_length_b 3.535
_cell_length_c 13.130
_cell_angle_alpha 90.00
_cell_angle_beta 90.00
_cell_angle_gamma 90.00
loop_
_atom_site_label
_atom_site_fract_x
_atom_site_fract_y
_atom_site_fract_z
Mo1 0.000 0.000 0.000
Pd1 0.000 0.500 0.250
S1 0.000 0.000 0.397
```

Entry 7:
Na4LiF6: relaxed, PBE.

Computed properties:
Its density of states at the Fermi level is 11.92 states/eV/f.u. The value obtained for the raw formation energy is -2.434 eV per atom. The value obtained for the electronic total energy is -4.11 eV/atom. Its total magnetization is 4.34 μB per cell.

Cell and atoms, written as CIF:
```
data_Na4LiF6
_chemical_formula_sum 'Na16 Li4 F24'
_space_group_name_H-M_alt 'C 1 c 1'
_space_group_IT_number 9
_cell_length_a 11.530
_cell_length_b 6.055
_cell_length_c 10.354
_cell_angle_alpha 90.00
_cell_angle_beta 116.95
_cell_angle_gamma 90.00
loop_
_space_group_symop_operation_xyz
'x,y,z'
'x,-y,z+1/2'
'x+1/2,y+1/2,z'
'x+1/2,-y+1/2,z+1/2'
loop_
_atom_site_label
_atom_site_fract_x
_atom_site_fract_y
_atom_site_fract_z
Na1 0.000 0.050 0.000
Na2 0.166 0.197 0.320
Na3 0.263 0.314 0.661
Na4 0.423 0.129 0.161
Li1 0.192 0.262 0.903
F1 0.099 0.157 0.715
F2 0.131 0.481 0.440
F3 0.205 0.020 0.021
F4 0.330 0.345 0.279
F5 0.358 0.277 0.918
F6 0.456 0.233 0.648
```

Entry 8:
Fe2Mo2Os: relaxed, PBE.

Computed properties:
Its density of states at the Fermi level is 7.00 states/eV/f.u. The energy of formation from the pure elements comes out at 0.69 eV per atom. Its polymorph energy (0 for the lowest one) is 0.527 eV/atom. The value obtained for the electronic total energy is -9.27 eV/atom. Its total magnetization is 0.02 μB per cell.

Cell and atoms, written as CIF:
```
data_Fe2Mo2Os
_chemical_formula_sum 'Fe4 Mo4 Os2'
_space_group_name_H-M_alt 'I 4/m m m'
_space_group_IT_number 139
_space_group_name_Hall '-I 4 2'
_cell_length_a 3.836
_cell_length_b 3.836
_cell_length_c 9.841
_cell_angle_alpha 90.00
_cell_angle_beta 90.00
_cell_angle_gamma 90.00
loop_
_atom_site_label
_atom_site_fract_x
_atom_site_fract_y
_atom_site_fract_z
Fe1 0.000 0.000 0.103
Mo1 0.000 0.500 0.250
Os1 0.000 0.000 0.500
```

What did the fourth record say?
CaAc2NpO6: relaxed, PBE.

Computed properties:
Its density of states at the Fermi level is 10.56 states/eV/f.u. The value obtained for the raw formation energy is -3.168 eV per atom. The value obtained for the electronic total energy is -8.46 eV/atom. Its total magnetization is 6.00 μB per cell.

Cell and atoms, written as CIF:
```
data_CaAc2NpO6
_chemical_formula_sum 'Ca2 Ac4 Np2 O12'
_space_group_name_H-M_alt 'P 1 21/c 1'
_space_group_IT_number 14
_cell_length_a 6.056
_cell_length_b 6.246
_cell_length_c 10.630
_cell_angle_alpha 90.00
_cell_angle_beta 124.46
_cell_angle_gamma 90.00
loop_
_space_group_symop_operation_xyz
'x,y,z'
'-x,-y,-z'
'-x,y+1/2,-z+1/2'
'x,-y+1/2,z+1/2'
loop_
_atom_site_label
_atom_site_fract_x
_atom_site_fract_y
_atom_site_fract_z
Ca1 0.000 0.000 0.000
Ac1 0.232 0.051 0.748
Np1 0.500 0.000 0.500
O1 0.145 0.190 0.440
O2 0.237 0.708 0.428
O3 0.381 0.056 0.258
```

What did the eighth record say?
Fe2Mo2Os: relaxed, PBE.

Computed properties:
Its density of states at the Fermi level is 7.00 states/eV/f.u. The energy of formation from the pure elements comes out at 0.69 eV per atom. Its polymorph energy (0 for the lowest one) is 0.527 eV/atom. The value obtained for the electronic total energy is -9.27 eV/atom. Its total magnetization is 0.02 μB per cell.

Cell and atoms, written as CIF:
```
data_Fe2Mo2Os
_chemical_formula_sum 'Fe4 Mo4 Os2'
_space_group_name_H-M_alt 'I 4/m m m'
_space_group_IT_number 139
_space_group_name_Hall '-I 4 2'
_cell_length_a 3.836
_cell_length_b 3.836
_cell_length_c 9.841
_cell_angle_alpha 90.00
_cell_angle_beta 90.00
_cell_angle_gamma 90.00
loop_
_atom_site_label
_atom_site_fract_x
_atom_site_fract_y
_atom_site_fract_z
Fe1 0.000 0.000 0.103
Mo1 0.000 0.500 0.250
Os1 0.000 0.000 0.500
```

Among the records above, which one has the lowest electronic total energy? Fe2Mo2Os

What is the electronic total energy in the fourth record? -8.46 eV/atom